The following is a PBE+U calculation of crystalline MnIrI2O at its relaxed geometry, from the Alexandria database.

Results
Offset from the most stable computed form = 0.3943 eV/atom
Space group = P4/mmm (123)
Total moment = 3.939 Bohr magnetons per cell

Cell: 5.5037 5.5037 3.5839 Å, 90.00 90.00 90.00°
With the nearest neighbours (Å) after each atom.
Sites, in units of the cell vectors:
I 0.0000 0.5000 0.0000  2 Mn 2.75
Ir 0.5000 0.5000 0.5000  8 I 3.28, 2 Ir 3.58
Mn 0.0000 0.0000 0.0000  2 O 1.79
I 0.5000 0.0000 0.0000  2 Mn 2.75
O 0.0000 0.0000 0.5000  2 Mn 1.79